Record 1
## Li2ZnRh (PBE)

Data for a relaxed structure of Li2ZnRh.

CIF file:
```
data_Li2ZnRh
_cell_length_a 9.133
_cell_length_b 9.133
_cell_length_c 9.133
_cell_angle_alpha 16.99
_cell_angle_beta 16.99
_cell_angle_gamma 16.99
_symmetry_space_group_name_H-M 'P 1'
_symmetry_Int_Tables_number 1
_symmetry_space_group_name_Hall 'P 1'
loop_
_atom_site_label
_atom_site_type_symbol
_atom_site_fract_x
_atom_site_fract_y
_atom_site_fract_z
_atom_site_occupancy
Li1 Li 0.505 0.505 0.505 1
Li2 Li 0.995 0.995 0.995 1
Rh1 Rh 0.250 0.250 0.250 1
Zn1 Zn 0.750 0.750 0.750 1
```

## Properties
Energy, eV per atom: -3.29
Size of the total moment, μB per atom: 0.007
Mass density, g/cm3: 5.33



Record 2
## Li3Zn2Rh3 (PBE)

Data for a relaxed structure of Li3Zn2Rh3.

CIF file:
```
data_Li3Zn2Rh3
_cell_length_a 4.163
_cell_length_b 4.097
_cell_length_c 6.277
_cell_angle_alpha 90.00
_cell_angle_beta 90.00
_cell_angle_gamma 90.00
_symmetry_space_group_name_H-M 'P 1'
_symmetry_Int_Tables_number 1
_symmetry_space_group_name_Hall 'P 1'
loop_
_atom_site_label
_atom_site_type_symbol
_atom_site_fract_x
_atom_site_fract_y
_atom_site_fract_z
_atom_site_occupancy
Zn1 Zn 0.000 0.000 0.251 1
Rh1 Rh 0.500 0.000 0.500 1
Li1 Li 0.500 0.500 0.744 1
Rh2 Rh 0.000 0.500 0.000 1
Li2 Li 0.500 0.500 0.256 1
Zn2 Zn 0.000 0.000 0.749 1
Li3 Li 0.500 0.000 0.000 1
Rh3 Rh 0.000 0.500 0.500 1
```

## Properties
Energy, eV per atom: -4.07
Size of the total moment, μB per atom: 0.000
Mass density, g/cm3: 7.14



Record 3
## LiZn2Rh4 (PBE)

Data for a relaxed structure of LiZn2Rh4.

CIF file:
```
data_LiZn2Rh4
_cell_length_a 4.251
_cell_length_b 7.225
_cell_length_c 7.225
_cell_angle_alpha 90.00
_cell_angle_beta 90.00
_cell_angle_gamma 90.00
_symmetry_space_group_name_H-M 'P 1'
_symmetry_Int_Tables_number 1
_symmetry_space_group_name_Hall 'P 1'
loop_
_atom_site_label
_atom_site_type_symbol
_atom_site_fract_x
_atom_site_fract_y
_atom_site_fract_z
_atom_site_occupancy
Rh1 Rh 0.500 0.868 0.383 1
Rh2 Rh 0.000 0.883 0.632 1
Li1 Li 0.000 0.500 0.500 1
Zn1 Zn 0.500 0.306 0.306 1
Rh3 Rh 0.500 0.383 0.868 1
Zn2 Zn 0.000 0.194 0.806 1
Rh4 Rh 0.000 0.117 0.368 1
Rh5 Rh 0.000 0.368 0.117 1
Rh6 Rh 0.500 0.617 0.132 1
Zn3 Zn 0.500 0.694 0.694 1
Rh7 Rh 0.500 0.132 0.617 1
Li2 Li 0.500 0.000 0.000 1
Rh8 Rh 0.000 0.632 0.883 1
Zn4 Zn 0.000 0.806 0.194 1
```

## Properties
Energy, eV per atom: -4.90
Size of the total moment, μB per atom: 0.330
Mass density, g/cm3: 8.22



Record 4
## Li2ZnRh (PBE)

Data for a relaxed structure of Li2ZnRh.

CIF file:
```
data_Li2ZnRh
_cell_length_a 3.851
_cell_length_b 2.757
_cell_length_c 6.084
_cell_angle_alpha 62.01
_cell_angle_beta 90.00
_cell_angle_gamma 90.00
_symmetry_space_group_name_H-M 'P 1'
_symmetry_Int_Tables_number 1
_symmetry_space_group_name_Hall 'P 1'
loop_
_atom_site_label
_atom_site_type_symbol
_atom_site_fract_x
_atom_site_fract_y
_atom_site_fract_z
_atom_site_occupancy
Li1 Li 0.500 0.239 0.264 1
Li2 Li 0.000 0.999 0.999 1
Rh1 Rh 0.000 0.491 0.511 1
Zn1 Zn 0.500 0.772 0.726 1
```

## Properties
Energy, eV per atom: -3.33
Size of the total moment, μB per atom: 0.039
Mass density, g/cm3: 5.30



Record 5
## Li6ZnRh (PBE)

Data for a relaxed structure of Li6ZnRh.

CIF file:
```
data_Li6ZnRh
_cell_length_a 4.601
_cell_length_b 9.246
_cell_length_c 5.393
_cell_angle_alpha 149.01
_cell_angle_beta 90.00
_cell_angle_gamma 90.00
_symmetry_space_group_name_H-M 'P 1'
_symmetry_Int_Tables_number 1
_symmetry_space_group_name_Hall 'P 1'
loop_
_atom_site_label
_atom_site_type_symbol
_atom_site_fract_x
_atom_site_fract_y
_atom_site_fract_z
_atom_site_occupancy
Li1 Li 0.000 0.377 0.250 1
Li2 Li 0.000 0.389 0.778 1
Rh1 Rh 0.500 0.625 0.250 1
Li3 Li 0.000 0.873 0.250 1
Li4 Li 0.000 0.861 0.722 1
Zn1 Zn 0.500 0.125 0.249 1
Li5 Li 0.500 0.125 0.750 1
Li6 Li 0.500 0.625 0.750 1
```

## Properties
Energy, eV per atom: -2.61
Size of the total moment, μB per atom: 0.000
Polymorph energy (0 for the lowest one), meV per atom: 0
Mass density, g/cm3: 2.95



Record 6
## Li2ZnRh (PBE)

Data for a relaxed structure of Li2ZnRh.

CIF file:
```
data_Li2ZnRh
_cell_length_a 4.944
_cell_length_b 4.944
_cell_length_c 4.120
_cell_angle_alpha 65.81
_cell_angle_beta 65.81
_cell_angle_gamma 36.90
_symmetry_space_group_name_H-M 'P 1'
_symmetry_Int_Tables_number 1
_symmetry_space_group_name_Hall 'P 1'
loop_
_atom_site_label
_atom_site_type_symbol
_atom_site_fract_x
_atom_site_fract_y
_atom_site_fract_z
_atom_site_occupancy
Li1 Li 0.002 0.002 0.997 1
Li2 Li 0.498 0.498 0.503 1
Rh1 Rh 0.750 0.750 0.750 1
Zn1 Zn 0.250 0.250 0.250 1
```

## Properties
Energy, eV per atom: -3.41
Size of the total moment, μB per atom: 0.000
Mass density, g/cm3: 5.55



Record 7
## Li8Zn2Rh (PBE)

Data for a relaxed structure of Li8Zn2Rh.

CIF file:
```
data_Li8Zn2Rh
_cell_length_a 6.808
_cell_length_b 5.993
_cell_length_c 5.993
_cell_angle_alpha 106.37
_cell_angle_beta 71.90
_cell_angle_gamma 71.90
_symmetry_space_group_name_H-M 'P 1'
_symmetry_Int_Tables_number 1
_symmetry_space_group_name_Hall 'P 1'
loop_
_atom_site_label
_atom_site_type_symbol
_atom_site_fract_x
_atom_site_fract_y
_atom_site_fract_z
_atom_site_occupancy
Zn1 Zn 0.441 0.707 0.707 1
Li1 Li 0.717 0.886 0.886 1
Li2 Li 0.770 0.943 0.429 1
Li3 Li 0.230 0.057 0.571 1
Rh1 Rh 0.000 0.000 0.000 1
Li4 Li 0.283 0.114 0.114 1
Li5 Li 0.863 0.403 0.403 1
Li6 Li 0.230 0.571 0.057 1
Zn2 Zn 0.559 0.293 0.293 1
Li7 Li 0.770 0.429 0.943 1
Li8 Li 0.137 0.597 0.597 1
```

## Properties
Energy, eV per atom: -2.31
Size of the total moment, μB per atom: 0.000
Mass density, g/cm3: 2.39



Record 8
## Li2Zn6Rh (PBE)

Data for a relaxed structure of Li2Zn6Rh.

CIF file:
```
data_Li2Zn6Rh
_cell_length_a 4.272
_cell_length_b 4.271
_cell_length_c 8.051
_cell_angle_alpha 89.98
_cell_angle_beta 90.00
_cell_angle_gamma 120.01
_symmetry_space_group_name_H-M 'P 1'
_symmetry_Int_Tables_number 1
_symmetry_space_group_name_Hall 'P 1'
loop_
_atom_site_label
_atom_site_type_symbol
_atom_site_fract_x
_atom_site_fract_y
_atom_site_fract_z
_atom_site_occupancy
Zn1 Zn 0.000 0.000 0.175 1
Zn2 Zn 0.333 0.667 0.947 1
Li1 Li 0.333 0.666 0.290 1
Li2 Li 0.667 0.334 0.710 1
Zn3 Zn 0.667 0.333 0.388 1
Zn4 Zn 0.667 0.333 0.053 1
Rh1 Rh 0.000 0.000 0.500 1
Zn5 Zn 0.000 0.000 0.825 1
Zn6 Zn 0.333 0.667 0.612 1
```

## Properties
Energy, eV per atom: -2.35
Size of the total moment, μB per atom: 0.000
Polymorph energy (0 for the lowest one), meV per atom: 0
Mass density, g/cm3: 6.65